1.
{"formula": "BaLaN", "functional": "PBE", "state": "relaxed", "raw_formation_energy_ev_per_atom": -0.69, "mass_density_g_cm3": 5.18, "e_above_lowest_polymorph_kj_per_mol_fu": 0, "dos_ef_per_ev_atom": 0.629, "space_group": "P3m1", "total_magnetization_mub_per_atom": 0.000, "cell": [[3.8805, 0.0000, 0.0000], [-1.9403, 3.3606, 0.0000], [0.0000, 0.0000, 7.1295]], "species": ["Ba", "La", "N"], "fractional_positions": [[0.0000, 0.0000, 0.0000], [0.3333, 0.6667, 0.4218], [0.6667, 0.3333, 0.2950]]}

***

2.
{"formula": "Cu12Au3O5", "functional": "PBE", "state": "relaxed", "raw_formation_energy_ev_per_atom": -0.11, "mass_density_g_cm3": 8.60, "dos_ef_per_ev_atom": 0.427, "space_group": "Ia-3d", "total_magnetization_mub_per_atom": 0.000, "cell": [[-6.5158, 6.5158, 6.5158], [6.5158, -6.5158, 6.5158], [6.5158, 6.5158, -6.5158]], "species": ["Cu", "Cu", "Cu", "Cu", "Cu", "Cu", "Cu", "Cu", "Cu", "Cu", "Cu", "Cu", "Cu", "Cu", "Cu", "Cu", "Cu", "Cu", "Cu", "Cu", "Cu", "Cu", "Cu", "Cu", "Cu", "Cu", "Cu", "Cu", "Cu", "Cu", "Cu", "Cu", "Cu", "Cu", "Cu", "Cu", "Cu", "Cu", "Cu", "Cu", "Cu", "Cu", "Cu", "Cu", "Cu", "Cu", "Cu", "Cu", "Au", "Au", "Au", "Au", "Au", "Au", "Au", "Au", "Au", "Au", "Au", "Au", "O", "O", "O", "O", "O", "O", "O", "O", "O", "O", "O", "O", "O", "O", "O", "O", "O", "O", "O", "O"], "fractional_positions": [[0.0113, 0.1925, 0.1034], [0.0113, 0.3188, 0.9079], [0.0891, 0.6925, 0.6812], [0.0891, 0.8966, 0.4079], [0.0921, 0.6034, 0.4109], [0.0921, 0.9887, 0.6812], [0.1034, 0.0113, 0.1925], [0.1034, 0.5921, 0.9109], [0.1812, 0.1925, 0.5891], [0.1812, 0.4887, 0.5921], [0.1925, 0.1034, 0.0113], [0.1925, 0.5891, 0.1812], [0.3075, 0.3188, 0.9109], [0.3075, 0.4887, 0.3966], [0.3188, 0.9079, 0.0113], [0.3188, 0.9109, 0.3075], [0.3966, 0.3075, 0.4887], [0.3966, 0.5891, 0.9079], [0.4079, 0.0891, 0.8966], [0.4079, 0.8188, 0.5113], [0.4109, 0.0921, 0.6034], [0.4109, 0.8188, 0.8075], [0.4887, 0.3966, 0.3075], [0.4887, 0.5921, 0.1812], [0.5113, 0.4079, 0.8188], [0.5113, 0.6034, 0.6925], [0.5891, 0.1812, 0.1925], [0.5891, 0.9079, 0.3966], [0.5921, 0.1812, 0.4887], [0.5921, 0.9109, 0.1034], [0.6034, 0.4109, 0.0921], [0.6034, 0.6925, 0.5113], [0.6812, 0.0891, 0.6925], [0.6812, 0.0921, 0.9887], [0.6925, 0.5113, 0.6034], [0.6925, 0.6812, 0.0891], [0.8075, 0.4109, 0.8188], [0.8075, 0.8966, 0.9887], [0.8188, 0.5113, 0.4079], [0.8188, 0.8075, 0.4109], [0.8966, 0.4079, 0.0891], [0.8966, 0.9887, 0.8075], [0.9079, 0.0113, 0.3188], [0.9079, 0.3966, 0.5891], [0.9109, 0.1034, 0.5921], [0.9109, 0.3075, 0.3188], [0.9887, 0.6812, 0.0921], [0.9887, 0.8075, 0.8966], [0.1250, 0.2500, 0.3750], [0.1250, 0.3750, 0.7500], [0.2500, 0.3750, 0.1250], [0.2500, 0.8750, 0.6250], [0.3750, 0.1250, 0.2500], [0.3750, 0.7500, 0.1250], [0.6250, 0.2500, 0.8750], [0.6250, 0.8750, 0.7500], [0.7500, 0.1250, 0.3750], [0.7500, 0.6250, 0.8750], [0.8750, 0.6250, 0.2500], [0.8750, 0.7500, 0.6250], [0.0000, 0.0000, 0.0000], [0.0000, 0.0000, 0.5000], [0.0000, 0.5000, 0.0000], [0.0000, 0.5000, 0.5000], [0.1250, 0.7500, 0.8750], [0.1250, 0.8750, 0.2500], [0.2500, 0.1250, 0.8750], [0.2500, 0.6250, 0.3750], [0.3750, 0.2500, 0.6250], [0.3750, 0.6250, 0.7500], [0.5000, 0.0000, 0.0000], [0.5000, 0.0000, 0.5000], [0.5000, 0.5000, 0.0000], [0.5000, 0.5000, 0.5000], [0.6250, 0.3750, 0.2500], [0.6250, 0.7500, 0.3750], [0.7500, 0.3750, 0.6250], [0.7500, 0.8750, 0.1250], [0.8750, 0.1250, 0.7500], [0.8750, 0.2500, 0.1250]]}

***

3.
{"formula": "ErScPdRu", "functional": "PBE", "state": "relaxed", "mass_density_g_cm3": 9.38, "e_above_lowest_polymorph_kj_per_mol_fu": 18, "dos_ef_per_ev_atom": 0.382, "space_group": "F-43m", "total_magnetization_mub_per_atom": 0.000, "cell": [[0.0000, 3.3364, 3.3364], [3.3364, 0.0000, 3.3364], [3.3364, 3.3364, 0.0000]], "species": ["Er", "Sc", "Pd", "Ru"], "fractional_positions": [[0.0000, 0.0000, 0.0000], [0.5000, 0.5000, 0.5000], [0.2500, 0.2500, 0.2500], [0.7500, 0.7500, 0.7500]]}

***

4.
{"formula": "Mg9CdPb2", "functional": "PBE", "state": "relaxed", "energy_ha_per_atom": -0.072, "mass_density_g_cm3": 4.43, "dos_ef_per_ev_atom": 0.363, "space_group": "P4/mmm", "total_magnetization_mub_per_atom": 0.000, "cell": [[4.5273, 0.0000, 0.0000], [0.0000, 4.5273, 0.0000], [0.0000, 0.0000, 13.6488]], "species": ["Mg", "Mg", "Mg", "Mg", "Mg", "Mg", "Mg", "Mg", "Mg", "Cd", "Pb", "Pb"], "fractional_positions": [[0.0000, 0.0000, 0.0000], [0.0000, 0.0000, 0.3305], [0.0000, 0.0000, 0.6695], [0.0000, 0.5000, 0.1605], [0.0000, 0.5000, 0.5000], [0.0000, 0.5000, 0.8395], [0.5000, 0.0000, 0.1605], [0.5000, 0.0000, 0.5000], [0.5000, 0.0000, 0.8395], [0.5000, 0.5000, 0.0000], [0.5000, 0.5000, 0.3314], [0.5000, 0.5000, 0.6686]]}

***

5.
{"formula": "Nd2Dy4ErMg", "functional": "PBE", "state": "relaxed", "energy_ha_per_atom": -0.156, "mass_density_g_cm3": 7.47, "dos_ef_per_ev_atom": 1.573, "space_group": "Pmmm", "total_magnetization_mub_per_atom": 0.000, "cell": [[4.9750, 0.0000, 0.0000], [0.0000, 4.9869, 0.0000], [0.0000, 0.0000, 10.1188]], "species": ["Nd", "Nd", "Dy", "Dy", "Dy", "Dy", "Er", "Mg"], "fractional_positions": [[0.0000, 0.0000, 0.0000], [0.5000, 0.5000, 0.5000], [0.0000, 0.5000, 0.2497], [0.0000, 0.5000, 0.7503], [0.5000, 0.0000, 0.2499], [0.5000, 0.0000, 0.7501], [0.0000, 0.0000, 0.5000], [0.5000, 0.5000, 0.0000]]}

***

6.
{"formula": "SnOsRuN", "functional": "PBE", "state": "relaxed", "raw_formation_energy_ev_per_atom": 0.34, "mass_density_g_cm3": 12.26, "e_above_lowest_polymorph_kj_per_mol_fu": 30, "dos_ef_per_ev_atom": 0.345, "space_group": "Imm2", "total_magnetization_mub_per_atom": 0.000, "cell": [[-1.4281, 1.5046, 6.6796], [1.4281, -1.5046, 6.6796], [1.4281, 1.5046, -6.6796]], "species": ["Sn", "Os", "Ru", "N"], "fractional_positions": [[0.0000, 0.0000, 0.0000], [0.2690, 0.2690, 0.0000], [0.6427, 0.6427, 0.0000], [0.3768, 0.8768, 0.5000]]}

***

7.
{"formula": "VCr2AgB", "functional": "PBE", "state": "relaxed", "energy_ha_per_atom": -0.232, "mass_density_g_cm3": 5.77, "dos_ef_per_ev_atom": 0.655, "space_group": "P4/mmm", "total_magnetization_mub_per_atom": 0.916, "cell": [[4.3737, 0.0000, 0.0000], [0.0000, 4.3737, 0.0000], [0.0000, 0.0000, 4.1128]], "species": ["V", "Cr", "Cr", "Ag", "B"], "fractional_positions": [[0.0000, 0.0000, 0.0000], [0.0000, 0.5000, 0.0000], [0.5000, 0.0000, 0.0000], [0.5000, 0.5000, 0.5000], [0.0000, 0.0000, 0.5000]]}

***

8.
{"formula": "ScCr2Fe", "functional": "PBE", "state": "relaxed", "mass_density_g_cm3": 6.44, "e_above_lowest_polymorph_kj_per_mol_fu": 62, "dos_ef_per_ev_atom": 1.011, "space_group": "P2/m", "total_magnetization_mub_per_atom": 0.053, "cell": [[2.6552, 0.0000, 0.0000], [0.0000, 4.2370, 0.0000], [-1.0326, 0.0000, 4.6923]], "species": ["Sc", "Cr", "Cr", "Fe"], "fractional_positions": [[0.0000, 0.0000, 0.0000], [0.2614, 0.5000, 0.7367], [0.7386, 0.5000, 0.2633], [0.5000, 0.0000, 0.5000]]}

***

9.
{"formula": "Na2FeMo", "functional": "PBE", "state": "relaxed", "energy_ha_per_atom": -0.144, "mass_density_g_cm3": 3.98, "dos_ef_per_ev_atom": 0.785, "space_group": "Fm-3m", "total_magnetization_mub_per_atom": 1.587, "cell": [[0.0000, 3.4565, 3.4565], [3.4565, 0.0000, 3.4565], [3.4565, 3.4565, 0.0000]], "species": ["Na", "Na", "Fe", "Mo"], "fractional_positions": [[0.2500, 0.2500, 0.2500], [0.7500, 0.7500, 0.7500], [0.0000, 0.0000, 0.0000], [0.5000, 0.5000, 0.5000]]}

***

10.
{"formula": "Li7Cd12Ag", "functional": "PBE", "state": "relaxed", "energy_ha_per_atom": -0.056, "mass_density_g_cm3": 6.29, "dos_ef_per_ev_atom": 0.356, "space_group": "R-3", "total_magnetization_mub_per_atom": 0.000, "cell": [[6.2940, 3.6339, 2.8952], [-6.2940, 3.6339, 2.8952], [0.0000, -7.2677, 2.8952]], "species": ["Li", "Li", "Li", "Li", "Li", "Li", "Li", "Cd", "Cd", "Cd", "Cd", "Cd", "Cd", "Cd", "Cd", "Cd", "Cd", "Cd", "Cd", "Ag"], "fractional_positions": [[0.0000, 0.0000, 0.0000], [0.1753, 0.4858, 0.6062], [0.3938, 0.8247, 0.5142], [0.4858, 0.6062, 0.1753], [0.5142, 0.3938, 0.8247], [0.6062, 0.1753, 0.4858], [0.8247, 0.5142, 0.3938], [0.1141, 0.4574, 0.2217], [0.1269, 0.2776, 0.8295], [0.1705, 0.8731, 0.7224], [0.2217, 0.1141, 0.4574], [0.2776, 0.8295, 0.1269], [0.4574, 0.2217, 0.1141], [0.5426, 0.7783, 0.8859], [0.7224, 0.1705, 0.8731], [0.7783, 0.8859, 0.5426], [0.8295, 0.1269, 0.2776], [0.8731, 0.7224, 0.1705], [0.8859, 0.5426, 0.7783], [0.5000, 0.5000, 0.5000]]}

***

11.
{"formula": "Nb2CdGeH", "functional": "PBE", "state": "relaxed", "energy_ha_per_atom": -0.171, "mass_density_g_cm3": 6.91, "dos_ef_per_ev_atom": 1.080, "space_group": "P4/mmm", "total_magnetization_mub_per_atom": 0.000, "cell": [[5.3392, 0.0000, 0.0000], [0.0000, 5.3392, 0.0000], [0.0000, 0.0000, 3.1368]], "species": ["Nb", "Nb", "Cd", "Ge", "H"], "fractional_positions": [[0.0000, 0.5000, 0.0000], [0.5000, 0.0000, 0.0000], [0.0000, 0.0000, 0.0000], [0.5000, 0.5000, 0.5000], [0.0000, 0.0000, 0.5000]]}

***

12.
{"formula": "Ac3Pb4S8", "functional": "PBE", "state": "relaxed", "raw_formation_energy_ev_per_atom": -1.22, "mass_density_g_cm3": 6.62, "dos_ef_per_ev_atom": 0.232, "space_group": "C2/m", "total_magnetization_mub_per_atom": 0.000, "cell": [[6.0166, -6.0541, 0.0000], [6.0166, 6.0541, 0.0000], [-5.9185, 0.0000, 6.0827]], "species": ["Ac", "Ac", "Ac", "Pb", "Pb", "Pb", "Pb", "S", "S", "S", "S", "S", "S", "S", "S"], "fractional_positions": [[0.0000, 0.0000, 0.0000], [0.0000, 0.5000, 0.5000], [0.5000, 0.0000, 0.5000], [0.0000, 0.5000, 0.0000], [0.5000, 0.0000, 0.0000], [0.5000, 0.5000, 0.0000], [0.5000, 0.5000, 0.5000], [0.2495, 0.7505, 0.0000], [0.2512, 0.2512, 0.4974], [0.2519, 0.2519, 0.0100], [0.2531, 0.7469, 0.5000], [0.7469, 0.2531, 0.5000], [0.7481, 0.7481, 0.9900], [0.7488, 0.7488, 0.5026], [0.7505, 0.2495, 0.0000]]}

***

13.
{"formula": "SrGa2Sn2", "functional": "PBE", "state": "relaxed", "mass_density_g_cm3": 5.59, "e_above_lowest_polymorph_kj_per_mol_fu": 16, "dos_ef_per_ev_atom": 0.481, "space_group": "I4/mmm", "total_magnetization_mub_per_atom": 0.000, "cell": [[-2.5552, 2.5552, 5.2790], [2.5552, -2.5552, 5.2790], [2.5552, 2.5552, -5.2790]], "species": ["Sr", "Ga", "Ga", "Sn", "Sn"], "fractional_positions": [[0.0000, 0.0000, 0.0000], [0.2500, 0.7500, 0.5000], [0.7500, 0.2500, 0.5000], [0.3626, 0.3626, 0.0000], [0.6374, 0.6374, 0.0000]]}

***

14.
{"formula": "NpAs6Pd12", "functional": "PBE", "state": "relaxed", "energy_ha_per_atom": -0.209, "mass_density_g_cm3": 9.67, "dos_ef_per_ev_atom": 0.822, "space_group": "R-3m", "total_magnetization_mub_per_atom": 0.227, "cell": [[5.7585, 3.3246, 2.9364], [-5.7585, 3.3246, 2.9364], [0.0000, -6.6493, 2.9364]], "species": ["Np", "As", "As", "As", "As", "As", "As", "Pd", "Pd", "Pd", "Pd", "Pd", "Pd", "Pd", "Pd", "Pd", "Pd", "Pd", "Pd"], "fractional_positions": [[0.0000, 0.0000, 0.0000], [0.2503, 0.2503, 0.6767], [0.2503, 0.6767, 0.2503], [0.3233, 0.7497, 0.7497], [0.6767, 0.2503, 0.2503], [0.7497, 0.3233, 0.7497], [0.7497, 0.7497, 0.3233], [0.1247, 0.5000, 0.8753], [0.1247, 0.8753, 0.5000], [0.1521, 0.4028, 0.4028], [0.4028, 0.1521, 0.4028], [0.4028, 0.4028, 0.1521], [0.5000, 0.1247, 0.8753], [0.5000, 0.8753, 0.1247], [0.5972, 0.5972, 0.8479], [0.5972, 0.8479, 0.5972], [0.8479, 0.5972, 0.5972], [0.8753, 0.1247, 0.5000], [0.8753, 0.5000, 0.1247]]}

***

15.
{"formula": "KCa2OsCl", "functional": "PBE", "state": "relaxed", "raw_formation_energy_ev_per_atom": 0.37, "mass_density_g_cm3": 3.81, "dos_ef_per_ev_atom": 0.944, "space_group": "P4/mmm", "total_magnetization_mub_per_atom": 0.146, "cell": [[5.2946, 0.0000, 0.0000], [0.0000, 5.2946, 0.0000], [0.0000, 0.0000, 5.3639]], "species": ["K", "Ca", "Ca", "Os", "Cl"], "fractional_positions": [[0.0000, 0.0000, 0.0000], [0.0000, 0.5000, 0.5000], [0.5000, 0.0000, 0.5000], [0.5000, 0.5000, 0.0000], [0.0000, 0.0000, 0.5000]]}

***

16.
{"formula": "KTiP2O", "functional": "PBE", "state": "relaxed", "raw_formation_energy_ev_per_atom": 1.46, "mass_density_g_cm3": 2.65, "e_above_lowest_polymorph_kj_per_mol_fu": 1005, "dos_ef_per_ev_atom": 0.965, "space_group": "P4/mmm", "total_magnetization_mub_per_atom": 0.000, "cell": [[5.0305, 0.0000, 0.0000], [0.0000, 5.0305, 0.0000], [0.0000, 0.0000, 4.0783]], "species": ["K", "Ti", "P", "P", "O"], "fractional_positions": [[0.0000, 0.0000, 0.0000], [0.5000, 0.5000, 0.5000], [0.0000, 0.5000, 0.0000], [0.5000, 0.0000, 0.0000], [0.0000, 0.0000, 0.5000]]}

***

17.
{"formula": "CsFeCl2", "functional": "PBE", "state": "relaxed", "raw_formation_energy_ev_per_atom": -0.82, "mass_density_g_cm3": 2.23, "e_above_lowest_polymorph_kj_per_mol_fu": 18, "dos_ef_per_ev_atom": 1.276, "space_group": "R-3m", "total_magnetization_mub_per_atom": 0.750, "cell": [[2.7950, 1.6137, 7.1580], [-2.7950, 1.6137, 7.1580], [0.0000, -3.2274, 7.1580]], "species": ["Cs", "Fe", "Cl", "Cl"], "fractional_positions": [[0.0000, 0.0000, 0.0000], [0.5000, 0.5000, 0.5000], [0.3993, 0.3993, 0.3993], [0.6007, 0.6007, 0.6007]]}

***

18.
{"formula": "CdFeW2", "functional": "PBE", "state": "relaxed", "energy_ha_per_atom": -0.307, "mass_density_g_cm3": 14.02, "dos_ef_per_ev_atom": 0.674, "space_group": "C2/m", "total_magnetization_mub_per_atom": 0.478, "cell": [[5.1597, -1.5338, 0.0000], [5.1597, 1.5338, 0.0000], [-1.9025, 0.0000, 4.0109]], "species": ["Cd", "Fe", "W", "W"], "fractional_positions": [[0.0000, 0.0000, 0.0000], [0.5000, 0.5000, 0.5000], [0.2300, 0.2300, 0.7300], [0.7700, 0.7700, 0.2700]]}

***

19.
{"formula": "MgTe4Cl", "functional": "PBE", "state": "relaxed", "raw_formation_energy_ev_per_atom": 0.10, "mass_density_g_cm3": 5.27, "dos_ef_per_ev_atom": 1.600, "space_group": "F-43m", "total_magnetization_mub_per_atom": 0.000, "cell": [[0.0000, 4.4781, 4.4781], [4.4781, 0.0000, 4.4781], [4.4781, 4.4781, 0.0000]], "species": ["Mg", "Te", "Te", "Te", "Te", "Cl"], "fractional_positions": [[0.0000, 0.0000, 0.0000], [0.1258, 0.6247, 0.6247], [0.6247, 0.1258, 0.6247], [0.6247, 0.6247, 0.1258], [0.6247, 0.6247, 0.6247], [0.2500, 0.2500, 0.2500]]}

***

20.
{"formula": "TcAgMo2", "functional": "PBE", "state": "relaxed", "mass_density_g_cm3": 10.31, "e_above_lowest_polymorph_kj_per_mol_fu": 14, "dos_ef_per_ev_atom": 0.798, "space_group": "Cmmm", "total_magnetization_mub_per_atom": 0.000, "cell": [[1.5894, -2.1902, 0.0000], [1.5894, 2.1902, 0.0000], [0.0000, 0.0000, 9.2040]], "species": ["Tc", "Ag", "Mo", "Mo"], "fractional_positions": [[0.0000, 0.0000, 0.0000], [0.0000, 0.0000, 0.5000], [0.5000, 0.5000, 0.2350], [0.5000, 0.5000, 0.7650]]}

***

21.
{"formula": "CaNd2Sc", "functional": "PBE", "state": "relaxed", "mass_density_g_cm3": 4.55, "e_above_lowest_polymorph_kj_per_mol_fu": 0, "dos_ef_per_ev_atom": 1.422, "space_group": "P4/mmm", "total_magnetization_mub_per_atom": 0.000, "cell": [[3.8482, 0.0000, 0.0000], [0.0000, 3.8482, 0.0000], [0.0000, 0.0000, 9.2080]], "species": ["Ca", "Nd", "Nd", "Sc"], "fractional_positions": [[0.0000, 0.0000, 0.0000], [0.5000, 0.5000, 0.2870], [0.5000, 0.5000, 0.7130], [0.0000, 0.0000, 0.5000]]}

***

22.
{"formula": "NpCrAs", "functional": "PBE", "state": "relaxed", "energy_ha_per_atom": -0.334, "mass_density_g_cm3": 10.56, "dos_ef_per_ev_atom": 2.446, "space_group": "P4/nmm", "total_magnetization_mub_per_atom": 0.662, "cell": [[3.9415, 0.0000, 0.0000], [0.0000, 3.9415, 0.0000], [0.0000, 0.0000, 7.3675]], "species": ["Np", "Np", "Cr", "Cr", "As", "As"], "fractional_positions": [[0.2500, 0.2500, 0.2429], [0.7500, 0.7500, 0.7571], [0.2500, 0.2500, 0.5251], [0.7500, 0.7500, 0.4749], [0.2500, 0.2500, 0.8564], [0.7500, 0.7500, 0.1436]]}